1.
# Y4CdHg2 (PBE, relaxed)
data_Y4CdHg2
_space_group_name_H-M_alt 'R -3 m'
_space_group_IT_number 166
_space_group_name_Hall '-R 3 2"'
_cell_length_a 5.2146
_cell_length_b 5.2146
_cell_length_c 25.2033
_cell_angle_alpha 90.00
_cell_angle_beta 90.00
_cell_angle_gamma 120.00
loop_
_atom_site_label
_atom_site_type_symbol
_atom_site_fract_x
_atom_site_fract_y
_atom_site_fract_z
Y1 Y 0.0000 0.0000 0.1192
Y2 Y 0.0000 0.0000 0.3713
Cd1 Cd 0.0000 0.0000 0.5000
Hg1 Hg 0.0000 0.0000 0.2486
# energy of formation from the pure elements: -0.299 eV/atom

2.
# YCd4Hg7 (PBE, relaxed)
data_YCd4Hg7
_space_group_name_H-M_alt 'P -1'
_space_group_IT_number 2
_cell_length_a 5.335
_cell_length_b 6.699
_cell_length_c 8.873
_cell_angle_alpha 109.62
_cell_angle_beta 101.41
_cell_angle_gamma 90.39
loop_
_space_group_symop_operation_xyz
'x,y,z'
'-x,-y,-z'
loop_
_atom_site_label
_atom_site_type_symbol
_atom_site_fract_x
_atom_site_fract_y
_atom_site_fract_z
Y1 Y 0.000 0.000 0.000
Cd1 Cd 0.210 0.310 0.674
Cd2 Cd 0.299 0.442 0.338
Hg1 Hg 0.000 0.500 0.000
Hg2 Hg 0.191 0.799 0.655
Hg3 Hg 0.301 0.932 0.331
Hg4 Hg 0.498 0.745 0.990
# energy above the most stable polymorph in this dataset: 0 meV/atom
# energy of formation from the pure elements: -0.091 eV/atom

3.
# Y3Cd4Hg4 (PBE, relaxed)
data_Y3Cd4Hg4
_space_group_name_H-M_alt 'P -1'
_space_group_IT_number 2
_cell_length_a 3.495
_cell_length_b 4.937
_cell_length_c 15.695
_cell_angle_alpha 80.96
_cell_angle_beta 83.61
_cell_angle_gamma 89.98
loop_
_space_group_symop_operation_xyz
'x,y,z'
'-x,-y,-z'
loop_
_atom_site_label
_atom_site_type_symbol
_atom_site_fract_x
_atom_site_fract_y
_atom_site_fract_z
Y1 Y 0.000 0.000 0.000
Y2 Y 0.140 0.639 0.720
Cd1 Cd 0.265 0.266 0.469
Cd2 Cd 0.409 0.909 0.183
Hg1 Hg 0.316 0.818 0.366
Hg2 Hg 0.455 0.453 0.094
# energy of formation from the pure elements: -0.325 eV/atom

4.
# Y3CdHg4 (PBE, relaxed)
data_Y3CdHg4
_space_group_name_H-M_alt 'R -3 m'
_space_group_IT_number 166
_space_group_name_Hall '-R 3 2"'
_cell_length_a 5.1564
_cell_length_b 5.1564
_cell_length_c 25.9824
_cell_angle_alpha 90.00
_cell_angle_beta 90.00
_cell_angle_gamma 120.00
loop_
_atom_site_label
_atom_site_type_symbol
_atom_site_fract_x
_atom_site_fract_y
_atom_site_fract_z
Y1 Y 0.0000 0.0000 0.0000
Y2 Y 0.0000 0.0000 0.2426
Cd1 Cd 0.0000 0.0000 0.5000
Hg1 Hg 0.0000 0.0000 0.1222
Hg2 Hg 0.0000 0.0000 0.3692
# energy of formation from the pure elements: -0.451 eV/atom

5.
# Y3Cd4Hg2 (PBE, relaxed)
data_Y3Cd4Hg2
_space_group_name_H-M_alt 'C 1 2/m 1'
_space_group_IT_number 12
_cell_length_a 11.019
_cell_length_b 4.957
_cell_length_c 9.221
_cell_angle_alpha 90.00
_cell_angle_beta 118.62
_cell_angle_gamma 90.00
loop_
_space_group_symop_operation_xyz
'x,y,z'
'-x,-y,-z'
'-x,y,-z'
'x,-y,z'
'x+1/2,y+1/2,z'
'-x+1/2,-y+1/2,-z'
'-x+1/2,y+1/2,-z'
'x+1/2,-y+1/2,z'
loop_
_atom_site_label
_atom_site_type_symbol
_atom_site_fract_x
_atom_site_fract_y
_atom_site_fract_z
Y1 Y 0.000 0.000 0.000
Y2 Y 0.169 0.500 0.664
Cd1 Cd 0.049 0.000 0.384
Cd2 Cd 0.225 0.500 0.056
Hg1 Hg 0.109 0.500 0.276
# energy of formation from the pure elements: -0.375 eV/atom

6.
# Y3Cd2Hg4 (PBE, relaxed)
data_Y3Cd2Hg4
_space_group_name_H-M_alt 'C 1 2/m 1'
_space_group_IT_number 12
_cell_length_a 9.212
_cell_length_b 5.209
_cell_length_c 9.324
_cell_angle_alpha 90.00
_cell_angle_beta 94.67
_cell_angle_gamma 90.00
loop_
_space_group_symop_operation_xyz
'x,y,z'
'-x,-y,-z'
'-x,y,-z'
'x,-y,z'
'x+1/2,y+1/2,z'
'-x+1/2,-y+1/2,-z'
'-x+1/2,y+1/2,-z'
'x+1/2,-y+1/2,z'
loop_
_atom_site_label
_atom_site_type_symbol
_atom_site_fract_x
_atom_site_fract_y
_atom_site_fract_z
Y1 Y 0.000 0.000 0.000
Y2 Y 0.154 0.500 0.389
Cd1 Cd 0.190 0.500 0.744
Hg1 Hg 0.018 0.000 0.662
Hg2 Hg 0.171 0.500 0.064
# energy above the most stable polymorph in this dataset: 27 meV/atom
# energy of formation from the pure elements: -0.372 eV/atom

7.
# YCd6Hg2 (PBE, relaxed)
data_YCd6Hg2
_space_group_name_H-M_alt 'C 1 2/m 1'
_space_group_IT_number 12
_cell_length_a 15.349
_cell_length_b 8.783
_cell_length_c 3.258
_cell_angle_alpha 90.00
_cell_angle_beta 102.20
_cell_angle_gamma 90.00
loop_
_space_group_symop_operation_xyz
'x,y,z'
'-x,-y,-z'
'-x,y,-z'
'x,-y,z'
'x+1/2,y+1/2,z'
'-x+1/2,-y+1/2,-z'
'-x+1/2,y+1/2,-z'
'x+1/2,-y+1/2,z'
loop_
_atom_site_label
_atom_site_type_symbol
_atom_site_fract_x
_atom_site_fract_y
_atom_site_fract_z
Y1 Y 0.000 0.000 0.000
Cd1 Cd 0.000 0.328 0.500
Cd2 Cd 0.174 0.170 0.675
Hg1 Hg 0.149 0.500 0.156
# energy above the most stable polymorph in this dataset: 47 meV/atom
# energy of formation from the pure elements: -0.096 eV/atom

8.
# YCdHg4 (PBE, relaxed)
data_YCdHg4
_space_group_name_H-M_alt 'C 1 2/m 1'
_space_group_IT_number 12
_cell_length_a 14.287
_cell_length_b 8.620
_cell_length_c 5.124
_cell_angle_alpha 90.00
_cell_angle_beta 102.84
_cell_angle_gamma 90.00
loop_
_space_group_symop_operation_xyz
'x,y,z'
'-x,-y,-z'
'-x,y,-z'
'x,-y,z'
'x+1/2,y+1/2,z'
'-x+1/2,-y+1/2,-z'
'-x+1/2,y+1/2,-z'
'x+1/2,-y+1/2,z'
loop_
_atom_site_label
_atom_site_type_symbol
_atom_site_fract_x
_atom_site_fract_y
_atom_site_fract_z
Y1 Y 0.199 0.000 0.123
Cd1 Cd 0.059 0.500 0.765
Hg1 Hg 0.000 0.185 0.000
Hg2 Hg 0.132 0.194 0.587
Hg3 Hg 0.167 0.500 0.297
# energy above the most stable polymorph in this dataset: 59 meV/atom
# energy of formation from the pure elements: -0.150 eV/atom